[1]
VASP calculation (GGA-PBE) on an optimized crystal structure of In3S4.

Calculated values
* crystal system: monoclinic
* total energy: -28.084 eV/cell
* formation energy (no corrections): -0.48 eV/atom
* total magnetic moment: 0.0 Bohr magnetons per cell

a b c (Å): 3.874 6.605 7.320
angles (deg): 111.76 105.34 90.00
Fractional coordinates of all 7 atoms:
In1 0.726 0.712 0.453
In2 0.274 0.288 0.547
In3 0.000 0.000 0.000
S1 0.130 0.458 0.260
S2 0.870 0.542 0.740
S3 0.358 0.998 0.717
S4 0.642 0.002 0.283

***

[2]
VASP calculation (GGA-PBE) on an optimized crystal structure of In3S.

Calculated values
* crystal system: orthorhombic
* total energy: -12.942 eV/cell
* formation energy (no corrections): -0.15 eV/atom
* total magnetic moment: 0.0 Bohr magnetons per cell

a b c (Å): 3.662 5.543 6.172
angles (deg): 116.68 107.25 90.00
Fractional coordinates of all 4 atoms:
In1 0.500 0.413 0.000
In2 0.702 0.058 0.404
In3 0.298 0.653 0.596
S1 0.000 0.043 0.000

***

[3]
VASP calculation (GGA-PBE) on an optimized crystal structure of InS.

Calculated values
* crystal system: orthorhombic
* total energy: -45.198 eV/cell
* formation energy (no corrections): -0.33 eV/atom
* total magnetic moment: 0.0 Bohr magnetons per cell

a b c (Å): 13.081 3.980 7.510
angles (deg): 90.00 90.00 90.00
Fractional coordinates of all 12 atoms:
S1 0.244 0.318 0.639
S2 0.744 0.682 0.139
S3 0.000 0.053 0.406
S4 0.500 0.947 0.906
S5 0.256 0.682 0.139
S6 0.756 0.318 0.639
In1 0.317 0.818 0.811
In2 0.000 0.517 0.695
In3 0.817 0.182 0.311
In4 0.500 0.483 0.195
In5 0.683 0.818 0.811
In6 0.183 0.182 0.311

***

[4]
VASP calculation (GGA-PBE) on an optimized crystal structure of InS.

Calculated values
* crystal system: tetragonal
* total energy: -60.635 eV/cell
* formation energy (no corrections): -0.36 eV/atom
* total magnetic moment: 0.0 Bohr magnetons per cell

a b c (Å): 11.494 11.494 3.810
angles (deg): 90.00 90.00 90.00
Fractional coordinates of all 16 atoms:
S1 0.484 0.765 0.000
S2 0.735 0.984 0.500
S3 0.265 0.016 0.500
S4 0.765 0.516 0.000
S5 0.235 0.484 0.000
S6 0.516 0.235 0.000
S7 0.984 0.265 0.500
S8 0.016 0.735 0.500
In1 0.845 0.309 0.000
In2 0.155 0.691 0.000
In3 0.191 0.345 0.500
In4 0.691 0.845 0.000
In5 0.345 0.809 0.500
In6 0.309 0.155 0.000
In7 0.655 0.191 0.500
In8 0.809 0.655 0.500

***

[5]
VASP calculation (GGA-PBE) on an optimized crystal structure of In5S8.

Calculated values
* crystal system: cubic
* total energy: -52.417 eV/cell
* formation energy (no corrections): -0.44 eV/atom
* total magnetic moment: 0.0 Bohr magnetons per cell

a b c (Å): 7.660 7.660 7.660
angles (deg): 60.00 60.00 60.00
Fractional coordinates of all 13 atoms:
In1 0.883 0.883 0.883
In2 0.351 0.883 0.883
In3 0.883 0.883 0.351
In4 0.883 0.351 0.883
In5 0.500 0.500 0.500
S1 0.632 0.123 0.123
S2 0.123 0.123 0.123
S3 0.634 0.097 0.634
S4 0.123 0.632 0.123
S5 0.097 0.634 0.634
S6 0.123 0.123 0.632
S7 0.634 0.634 0.634
S8 0.634 0.634 0.097

***

[6]
VASP calculation (GGA-PBE) on an optimized crystal structure of In3S4.

Calculated values
* crystal system: cubic
* total energy: -56.288 eV/cell
* formation energy (no corrections): -0.49 eV/atom
* total magnetic moment: 0.0 Bohr magnetons per cell

a b c (Å): 7.896 7.896 7.896
angles (deg): 60.00 60.00 60.00
Fractional coordinates of all 14 atoms:
S1 0.884 0.347 0.884
S2 0.884 0.884 0.347
S3 0.903 0.366 0.366
S4 0.347 0.884 0.884
S5 0.366 0.366 0.366
S6 0.366 0.366 0.903
S7 0.884 0.884 0.884
S8 0.366 0.903 0.366
In1 0.750 0.750 0.750
In2 0.125 0.125 0.125
In3 0.125 0.125 0.625
In4 0.625 0.125 0.125
In5 0.500 0.500 0.500
In6 0.125 0.625 0.125

***

[7]
VASP calculation (GGA-PBE) on an optimized crystal structure of InS.

Calculated values
* crystal system: cubic
* total energy: -58.289 eV/cell
* formation energy (no corrections): -0.21 eV/atom
* total magnetic moment: 0.0 Bohr magnetons per cell

a b c (Å): 8.509 8.509 8.509
angles (deg): 90.00 90.00 90.00
Fractional coordinates of all 16 atoms:
S1 0.323 0.323 0.677
S2 0.823 0.177 0.823
S3 0.323 0.677 0.323
S4 0.177 0.823 0.823
S5 0.677 0.323 0.323
S6 0.677 0.677 0.677
S7 0.823 0.823 0.177
S8 0.177 0.177 0.177
In1 0.648 0.352 0.648
In2 0.352 0.648 0.648
In3 0.852 0.852 0.852
In4 0.148 0.852 0.148
In5 0.648 0.648 0.352
In6 0.852 0.148 0.148
In7 0.148 0.148 0.852
In8 0.352 0.352 0.352

***

[8]
VASP calculation (GGA-PBE) on an optimized crystal structure of In3S4.

Calculated values
* crystal system: cubic
* total energy: -27.907 eV/cell
* formation energy (no corrections): -0.45 eV/atom
* total magnetic moment: 0.0 Bohr magnetons per cell

a b c (Å): 5.845 5.845 5.845
angles (deg): 90.00 90.00 90.00
Fractional coordinates of all 7 atoms:
S1 0.241 0.759 0.241
S2 0.759 0.241 0.241
S3 0.759 0.759 0.759
S4 0.241 0.241 0.759
In1 0.000 0.500 0.500
In2 0.500 0.500 0.000
In3 0.500 0.000 0.500

***

[9]
VASP calculation (GGA-PBE) on an optimized crystal structure of InS.

Calculated values
* crystal system: tetragonal
* total energy: -60.963 eV/cell
* formation energy (no corrections): -0.38 eV/atom
* total magnetic moment: 0.0 Bohr magnetons per cell

a b c (Å): 11.632 11.632 3.989
angles (deg): 90.00 90.00 90.00
Fractional coordinates of all 16 atoms:
S1 0.375 0.108 0.000
S2 0.625 0.892 0.000
S3 0.262 0.359 0.500
S4 0.892 0.375 0.000
S5 0.641 0.262 0.500
S6 0.359 0.738 0.500
S7 0.108 0.625 0.000
S8 0.738 0.641 0.500
In1 0.856 0.782 0.000
In2 0.782 0.144 0.000
In3 0.778 0.432 0.500
In4 0.144 0.218 0.000
In5 0.218 0.856 0.000
In6 0.568 0.778 0.500
In7 0.432 0.222 0.500
In8 0.222 0.568 0.500

***

[10]
VASP calculation (GGA-PBE) on an optimized crystal structure of InS2.

Calculated values
* crystal system: orthorhombic
* total energy: -20.662 eV/cell
* formation energy (no corrections): 0.22 eV/atom
* total magnetic moment: 0.0 Bohr magnetons per cell

a b c (Å): 3.606 3.604 11.491
angles (deg): 90.00 99.03 90.00
Fractional coordinates of all 6 atoms:
S1 0.914 0.250 0.828
S2 0.586 0.250 0.173
S3 0.086 0.750 0.172
S4 0.414 0.750 0.827
In1 0.313 0.250 0.626
In2 0.687 0.750 0.374

***

[11]
VASP calculation (GGA-PBE) on an optimized crystal structure of In2S3.

Calculated values
* crystal system: trigonal
* total energy: -40.921 eV/cell
* formation energy (no corrections): -0.52 eV/atom
* total magnetic moment: 0.0 Bohr magnetons per cell

a b c (Å): 7.087 7.087 7.087
angles (deg): 56.02 56.02 56.02
Fractional coordinates of all 10 atoms:
S1 0.250 0.548 0.952
S2 0.952 0.250 0.548
S3 0.048 0.750 0.452
S4 0.452 0.048 0.750
S5 0.548 0.952 0.250
S6 0.750 0.452 0.048
In1 0.355 0.355 0.355
In2 0.645 0.645 0.645
In3 0.145 0.145 0.145
In4 0.855 0.855 0.855

***

[12]
VASP calculation (GGA-PBE) on an optimized crystal structure of In2S3.

Calculated values
* crystal system: monoclinic
* total energy: -40.968 eV/cell
* formation energy (no corrections): -0.52 eV/atom
* total magnetic moment: 0.0 Bohr magnetons per cell

a b c (Å): 6.989 6.989 6.911
angles (deg): 80.57 80.57 120.08
Fractional coordinates of all 10 atoms:
S1 0.861 0.023 0.384
S2 0.023 0.861 0.884
S3 0.387 0.551 0.855
S4 0.700 0.212 0.889
S5 0.551 0.387 0.355
S6 0.212 0.700 0.389
In1 0.816 0.329 0.502
In2 0.187 0.020 0.498
In3 0.020 0.187 0.998
In4 0.329 0.816 0.002